# 1
A relaxed ZrCuRh crystal. Source: Alexandria, functional PBE-GGA.

Structure (extended XYZ):
```
3
Lattice="4.3567 0.0000 0.0000 2.1784 3.7730 0.0000 2.1784 1.2577 3.5572" Properties=species:S:1:pos:R:3 pbc="T T T"
Cu 0.0000 0.0000 0.0000
Rh 4.3567 2.5154 1.7786
Zr 6.5351 3.7730 2.6679
```

symmetry: F-43m (216)
ΔH_f (0 K): 28 kJ/mol of formula units
polymorph energy (0 for the lowest one): 639 meV per atom
electronic total energy: -6.57 eV/atom

---

# 2
A relaxed Zr5CuRh6 crystal. Source: Alexandria, functional PBE-GGA.

Structure (extended XYZ):
```
12
Lattice="-2.3372 -0.6284 -3.7782 7.5675 0.0816 -2.0306 -2.1800 -5.6650 4.9551" Properties=species:S:1:pos:R:3 pbc="T T T"
Rh -0.8505 -2.5793 0.9550
Rh 0.6173 -5.5682 0.5444
Rh -0.3311 -2.0199 -2.1236
Rh 3.3814 -4.1919 1.2698
Rh 2.4329 -0.6436 -1.3981
Rh 3.9008 -3.6325 -1.8088
Cu 0.0000 0.0000 0.0000
Zr -1.9471 -5.1529 2.0615
Zr 0.9756 -3.8046 2.6936
Zr 1.5251 -3.1059 -0.4269
Zr 4.4119 -1.7788 0.2309
Zr 4.9973 -1.0589 -2.9153
```

symmetry: Immm (71)
ΔH_f (0 K): -814 kJ/mol of formula units
electronic total energy: -8.28 eV/atom

---

# 3
A relaxed ZrCu2Rh crystal. Source: Alexandria, functional PBE-GGA.

Structure (extended XYZ):
```
4
Lattice="-6.0038 -5.8814 3.7211 -3.6554 -6.8765 4.8821 -5.0115 -4.7356 6.0781" Properties=species:S:1:pos:R:3 pbc="T T T"
Cu -14.5853 -17.3917 14.5958
Cu -7.4207 -8.8486 7.4261
Rh -3.6677 -4.3734 3.6703
Zr -11.0030 -13.1201 11.0109
```

symmetry: R-3m (166)
ΔH_f (0 K): 64 kJ/mol of formula units
electronic total energy: -5.86 eV/atom

---

# 4
A relaxed Zr2Cu3Rh crystal. Source: Alexandria, functional PBE-GGA.

Structure (extended XYZ):
```
12
Lattice="-2.6314 0.0349 4.1259 1.5658 -4.5459 -0.9119 7.5907 3.8003 2.8685" Properties=species:S:1:pos:R:3 pbc="T T T"
Zr 1.1613 -0.9688 0.2582
Zr 2.6196 -2.7892 3.1284
Zr 5.3637 0.2582 5.8243
Zr 3.9055 2.0786 2.9541
Cu 3.4584 -0.4639 1.7176
Cu 0.3193 -3.2907 1.6727
Cu 3.0666 -0.2467 4.3649
Cu 6.2057 2.5801 4.4097
Cu 0.8406 -0.7332 2.9534
Cu 5.6844 0.0226 3.1291
Rh 2.9391 -3.0235 0.4346
Rh 3.5859 2.3129 5.6479
```

symmetry: C2/c (15)
ΔH_f (0 K): -128 kJ/mol of formula units
electronic total energy: -6.34 eV/atom

---

# 5
A relaxed Zr2CuRh2 crystal. Source: Alexandria, functional PBE-GGA.

Structure (extended XYZ):
```
10
Lattice="-7.1154 -2.7872 1.0802 2.1785 -6.7450 -3.0535 0.8232 -1.0096 2.8175" Properties=species:S:1:pos:R:3 pbc="T T T"
Rh 0.8089 -5.2134 -0.3946
Rh -2.2703 -8.0886 -0.5252
Rh -4.9225 -5.3284 1.2389
Rh -1.8434 -2.4532 1.3695
Cu 0.0000 0.0000 0.0000
Cu -2.4684 -4.7661 -0.9866
Zr -0.6052 -6.6442 -2.2040
Zr -4.5691 -6.7801 -1.0945
Zr -4.3317 -2.8880 0.2308
Zr -0.3678 -2.7520 -0.8787
```

symmetry: P4/mbm (127)
ΔH_f (0 K): -143 kJ/mol of formula units
polymorph energy (0 for the lowest one): 209 meV per atom
electronic total energy: -7.48 eV/atom

---

# 6
A relaxed CuRu2 crystal. Source: Alexandria, functional PBE-GGA.

Structure (extended XYZ):
```
12
Lattice="5.7426 0.0000 0.0000 0.0000 5.7426 0.0000 0.0000 0.0000 5.7426" Properties=species:S:1:pos:R:3 pbc="T T T"
Ru 0.6562 3.5275 5.0863
Ru 0.6562 5.0863 2.2150
Ru 2.2150 0.6562 5.0863
Ru 2.2150 2.2150 2.2150
Ru 3.5275 3.5275 3.5275
Ru 3.5275 5.0863 0.6562
Ru 5.0863 0.6562 3.5275
Ru 5.0863 2.2150 0.6562
Cu 0.0000 0.0000 0.0000
Cu 0.0000 2.8713 2.8713
Cu 2.8713 0.0000 2.8713
Cu 2.8713 2.8713 0.0000
```

symmetry: Pa-3 (205)
ΔH_f (0 K): 338 kJ/mol of formula units
polymorph energy (0 for the lowest one): 1012 meV per atom
electronic total energy: -6.38 eV/atom

---

# 7
A relaxed CuRu2 crystal. Source: Alexandria, functional PBE-GGA.

Structure (extended XYZ):
```
3
Lattice="-0.6024 -4.2209 0.6266 3.0848 1.3613 -2.6838 1.6877 0.0510 1.9657" Properties=species:S:1:pos:R:3 pbc="T T T"
Cu 0.0000 0.0000 0.0000
Ru 2.6996 -0.4740 -0.5975
Ru 1.4705 -2.3347 0.5060
```

symmetry: P6/mmm (191)
ΔH_f (0 K): 114 kJ/mol of formula units
polymorph energy (0 for the lowest one): 237 meV per atom
electronic total energy: -7.16 eV/atom

---

# 8
A relaxed CuRu2 crystal. Source: Alexandria, functional PBE-GGA.

Structure (extended XYZ):
```
12
Lattice="-5.2555 2.8516 -1.6497 -1.4077 -2.2677 0.5645 0.8395 1.8750 9.6262" Properties=species:S:1:pos:R:3 pbc="T T T"
Ru -1.7502 2.9622 7.5361
Ru -2.6658 1.7644 0.4404
Ru -2.8738 0.8909 3.0052
Ru -2.9499 1.5680 5.5357
Ru -0.6576 1.4742 4.2824
Ru -3.7584 3.2524 3.6940
Ru -0.9417 1.2778 9.3777
Ru -4.8819 1.1811 -0.8368
Cu -3.8825 3.9770 6.2954
Cu -0.5335 0.7496 1.6810
Cu -5.0061 1.9057 1.7646
Cu -0.8175 0.5532 6.7763
```

symmetry: C2/m (12)
ΔH_f (0 K): 48 kJ/mol of formula units
polymorph energy (0 for the lowest one): 9 meV per atom
electronic total energy: -7.39 eV/atom

---

Q: Which value of ΔH_f (0 K) does entry 4 give?
A: -128 kJ/mol of formula units

---

Q: Which of these has the highest electronic total energy?
A: ZrCu2Rh